Entry 1:
Material: Cs3Er2ZrS6
Method: DFT, PBE-GGA
State: relaxed

a b c (Å): 6.901 6.901 8.384
angles (deg): 97.89 97.89 120.00
Fractional positions:
Cs: 0.000 0.000 0.000
Cs: 0.332 0.668 0.000
Cs: 0.668 0.332 0.000
Er: 0.167 0.833 0.500
Er: 0.833 0.167 0.500
Zr: 0.500 0.500 0.500
S: 0.117 0.440 0.320
S: 0.238 0.238 0.681
S: 0.440 0.117 0.320
S: 0.560 0.883 0.680
S: 0.762 0.762 0.319
S: 0.883 0.560 0.680

Total magnetization ... 0.0 μB per formula unit
Crystal system ... monoclinic

***

Entry 2:
Material: Cs3ErSb2Se6
Method: DFT, PBE-GGA
State: relaxed

a b c (Å): 7.441 7.441 8.690
angles (deg): 98.21 98.21 119.99
Fractional positions:
Cs: 0.000 0.000 0.000
Cs: 0.331 0.669 0.000
Cs: 0.669 0.331 0.000
Er: 0.500 0.500 0.500
Sb: 0.166 0.834 0.500
Sb: 0.834 0.166 0.500
Se: 0.110 0.438 0.315
Se: 0.233 0.233 0.686
Se: 0.438 0.110 0.315
Se: 0.562 0.890 0.685
Se: 0.767 0.767 0.314
Se: 0.890 0.562 0.685

Total magnetization ... 0.0 μB per formula unit
Crystal system ... monoclinic

***

Entry 3:
Material: Cs2Er2SbSe6
Method: DFT, PBE-GGA
State: relaxed

a b c (Å): 7.162 7.162 8.955
angles (deg): 97.83 97.83 120.03
Fractional positions:
Cs: 0.168 0.832 0.000
Cs: 0.832 0.168 0.000
Er: 0.332 0.668 0.500
Er: 0.668 0.332 0.500
Sb: 0.000 0.000 0.500
Se: 0.063 0.391 0.681
Se: 0.267 0.267 0.320
Se: 0.391 0.063 0.681
Se: 0.609 0.937 0.319
Se: 0.733 0.733 0.680
Se: 0.937 0.609 0.319

Total magnetization ... 0.0 μB per formula unit
Crystal system ... monoclinic

***

Entry 4:
Material: Cs3ErSc2Se6
Method: DFT, PBE-GGA
State: relaxed

a b c (Å): 7.150 7.150 8.642
angles (deg): 97.93 97.93 120.00
Fractional positions:
Cs: 0.000 0.000 0.000
Cs: 0.335 0.665 0.000
Cs: 0.665 0.335 0.000
Er: 0.500 0.500 0.500
Sc: 0.167 0.833 0.500
Sc: 0.833 0.167 0.500
Se: 0.097 0.440 0.320
Se: 0.216 0.216 0.679
Se: 0.440 0.097 0.320
Se: 0.560 0.903 0.680
Se: 0.784 0.784 0.321
Se: 0.903 0.560 0.680

Total magnetization ... 0.0 μB per formula unit
Crystal system ... monoclinic

***

Entry 5:
Material: CsErScSe3
Method: DFT, PBE-GGA
State: relaxed

a b c (Å): 9.588 4.365 10.539
angles (deg): 90.00 111.70 90.00
Fractional positions:
Cs: 0.222 0.250 0.239
Cs: 0.778 0.750 0.761
Er: 0.337 0.750 0.869
Er: 0.663 0.250 0.131
Sc: 0.088 0.250 0.611
Sc: 0.912 0.750 0.389
Se: 0.130 0.250 0.867
Se: 0.205 0.750 0.558
Se: 0.479 0.750 0.153
Se: 0.521 0.250 0.847
Se: 0.795 0.250 0.442
Se: 0.870 0.750 0.133

Total magnetization ... 0.0 μB per formula unit
Crystal system ... monoclinic

***

Entry 6:
Material: Cs3ErSc3Te8
Method: DFT, PBE-GGA
State: relaxed

a b c (Å): 8.509 8.509 10.398
angles (deg): 114.16 114.16 60.00
Fractional positions:
Cs: 0.000 0.000 0.000
Cs: 0.000 0.500 0.000
Cs: 0.500 0.000 0.000
Er: 0.000 0.000 0.500
Sc: 0.000 0.500 0.500
Sc: 0.500 0.000 0.500
Sc: 0.500 0.500 0.500
Te: 0.235 0.235 0.686
Te: 0.236 0.716 0.686
Te: 0.272 0.272 0.319
Te: 0.284 0.764 0.314
Te: 0.716 0.236 0.686
Te: 0.728 0.728 0.681
Te: 0.764 0.284 0.314
Te: 0.765 0.765 0.314

Total magnetization ... 0.0 μB per formula unit
Crystal system ... monoclinic

***

Entry 7:
Material: CsErScTe3
Method: DFT, PBE-GGA
State: relaxed

a b c (Å): 10.222 4.592 11.139
angles (deg): 90.00 111.57 90.00
Fractional positions:
Cs: 0.217 0.250 0.242
Cs: 0.783 0.750 0.758
Er: 0.338 0.750 0.867
Er: 0.662 0.250 0.133
Sc: 0.085 0.250 0.609
Sc: 0.915 0.750 0.391
Te: 0.128 0.250 0.871
Te: 0.214 0.750 0.553
Te: 0.473 0.750 0.157
Te: 0.527 0.250 0.843
Te: 0.786 0.250 0.447
Te: 0.872 0.750 0.129

Total magnetization ... 0.2 μB per formula unit
Crystal system ... monoclinic

***

Entry 8:
Material: Cs2ErScTe4
Method: DFT, PBE-GGA
State: relaxed

a b c (Å): 7.708 4.452 9.237
angles (deg): 90.00 106.14 90.00
Fractional positions:
Cs: 0.000 0.000 0.000
Cs: 0.500 0.500 0.000
Er: 0.000 0.500 0.500
Sc: 0.500 0.000 0.500
Te: 0.237 0.000 0.686
Te: 0.281 0.500 0.318
Te: 0.719 0.500 0.682
Te: 0.763 0.000 0.314

Total magnetization ... 0.0 μB per formula unit
Crystal system ... monoclinic

***

Entry 9:
Material: CsEr5Se8
Method: DFT, PBE-GGA
State: relaxed

a b c (Å): 10.734 10.734 10.152
angles (deg): 104.06 104.06 22.10
Fractional positions:
Cs: 0.000 0.000 0.000
Er: 0.156 0.156 0.459
Er: 0.204 0.204 0.842
Er: 0.500 0.500 0.500
Er: 0.796 0.796 0.159
Er: 0.844 0.844 0.541
Se: 0.078 0.078 0.652
Se: 0.268 0.268 0.350
Se: 0.332 0.332 0.008
Se: 0.417 0.417 0.686
Se: 0.582 0.582 0.315
Se: 0.668 0.668 0.993
Se: 0.731 0.731 0.650
Se: 0.922 0.922 0.349

Total magnetization ... 0.0 μB per formula unit
Crystal system ... monoclinic

***

Entry 10:
Material: CsErSe
Method: DFT, PBE-GGA
State: relaxed

a b c (Å): 17.092 3.936 3.936
angles (deg): 60.42 90.00 90.00
Fractional positions:
Cs: 0.143 0.000 0.000
Cs: 0.857 0.000 0.000
Er: 0.392 0.557 0.557
Er: 0.608 0.557 0.557
Se: 0.000 0.663 0.663
Se: 0.500 0.892 0.892

Total magnetization ... 0.2 μB per formula unit
Crystal system ... orthorhombic

***

Entry 11:
Material: CsErSe2
Method: DFT, PBE-GGA
State: relaxed

a b c (Å): 8.780 8.780 8.780
angles (deg): 27.83 27.83 27.83
Fractional positions:
Cs: 0.000 0.000 0.000
Er: 0.831 0.831 0.831
Se: 0.226 0.226 0.226
Se: 0.437 0.437 0.437

Total magnetization ... 0.0 μB per formula unit
Crystal system ... trigonal

***

Entry 12:
Material: CsErSe4
Method: DFT, PBE-GGA
State: relaxed

a b c (Å): 6.286 6.286 9.050
angles (deg): 90.00 90.00 90.00
Fractional positions:
Cs: 0.250 0.250 0.000
Cs: 0.750 0.750 0.000
Er: 0.250 0.250 0.500
Er: 0.750 0.750 0.500
Se: 0.113 0.613 0.312
Se: 0.113 0.887 0.688
Se: 0.387 0.613 0.688
Se: 0.387 0.887 0.312
Se: 0.613 0.113 0.688
Se: 0.613 0.387 0.312
Se: 0.887 0.113 0.312
Se: 0.887 0.387 0.688

Total magnetization ... 0.0 μB per formula unit
Crystal system ... tetragonal

***

no.,formation energy (no corrections) (eV/atom),DFT total energy (eV/cell)
1,-1.67,-65.07
2,-1.02,-48.51
3,-1.30,-50.15
4,-1.61,-60.07
5,-1.58,-63.39
6,-1.23,-69.64
7,-1.22,-57.02
8,-1.30,-35.54
9,-1.85,-77.45
10,-0.50,-20.77
11,-1.71,-19.21
12,-1.15,-52.55